Record 1
Below is La2CrW after structural relaxation, with properties calculated at the GGA-PBE level.

Output
total magnetization	6.3	Bohr magnetons per cell
crystal system	tetragonal
space group	No. 122
D(E_F)	5.54	states/eV/f.u.
DFT formation energy	1073.8	meV per atom
energy above the lowest structure with this stoichiometry	2.71	eV/f.u.
theoretical density	8.419	g/cm3

Lattice parameters (Å, degrees): 6.514 6.514 6.514 102.82 102.82 123.78
Element x y z (fractional)
La: 0.116 0.125 0.491
La: 0.375 0.884 0.009
La: 0.634 0.625 0.509
La: 0.875 0.366 0.991
Cr: 0.250 0.750 0.500
Cr: 0.500 0.500 0.000
W: 0.000 0.000 0.000
W: 0.750 0.250 0.500


Record 2
Below is ErHf2Sc12 after structural relaxation, with properties calculated at the GGA-PBE level.

Output
total magnetization	0.0	Bohr magnetons per cell
crystal system	tetragonal
space group	No. 125
D(E_F)	26.36	states/eV/f.u.
DFT formation energy	430.0	meV per atom
theoretical density	4.548	g/cm3

Lattice parameters (Å, degrees): 5.786 5.786 23.206 90.00 90.00 90.00
Element x y z (fractional)
Er: 0.250 0.750 0.000
Er: 0.750 0.250 0.000
Hf: 0.250 0.750 0.288
Hf: 0.250 0.750 0.712
Hf: 0.750 0.250 0.288
Hf: 0.750 0.250 0.712
Sc: 0.001 0.501 0.120
Sc: 0.001 0.999 0.880
Sc: 0.081 0.581 0.561
Sc: 0.081 0.919 0.439
Sc: 0.250 0.250 0.225
Sc: 0.250 0.250 0.343
Sc: 0.250 0.250 0.657
Sc: 0.250 0.250 0.775
Sc: 0.419 0.581 0.439
Sc: 0.419 0.919 0.561
Sc: 0.499 0.501 0.880
Sc: 0.499 0.999 0.120
Sc: 0.501 0.001 0.880
Sc: 0.501 0.499 0.120
Sc: 0.581 0.081 0.439
Sc: 0.581 0.419 0.561
Sc: 0.750 0.750 0.225
Sc: 0.750 0.750 0.343
Sc: 0.750 0.750 0.657
Sc: 0.750 0.750 0.775
Sc: 0.919 0.081 0.561
Sc: 0.919 0.419 0.439
Sc: 0.999 0.001 0.120
Sc: 0.999 0.499 0.880


Record 3
Below is Cs2AuBrCl6 after structural relaxation, with properties calculated at the GGA-PBE level.

Output
formation energy from raw total energies	-0.999	eV per atom
total magnetization	0.0	Bohr magnetons per cell
crystal system	tetragonal
space group	No. 139
D(E_F)	0.00	states/eV/f.u.
theoretical density	3.586	g/cm3

Lattice parameters (Å, degrees): 7.915 7.915 7.915 120.16 120.16 89.73
Element x y z (fractional)
Cs: 0.250 0.750 0.500
Cs: 0.750 0.250 0.500
Au: 0.000 0.000 0.000
Br: 0.500 0.500 0.000
Cl: 0.209 0.209 0.419
Cl: 0.209 0.791 0.000
Cl: 0.285 0.285 0.000
Cl: 0.715 0.715 0.000
Cl: 0.791 0.209 0.000
Cl: 0.791 0.791 0.581